Record 1
## Mo2CSeS (PBE)

Data for a relaxed Mo2CSeS crystal.

abc: 3.295 3.295 9.250
angles: 90.00 90.00 120.00
Positions (direct):
S: 0.333 0.667 0.291
Se: 0.667 0.333 0.697
C: 0.000 0.000 0.001
Mo: 0.333 0.667 0.893
Mo: 0.667 0.333 0.118

Its density is 6.01 g cm⁻³. For the final energy, the calculation gives -8.014 eV/atom. The calculation puts the total magnetization at 0.01 μB per cell.

---

Record 2
## SiMo4C2S (PBE)

Data for a relaxed SiMo4C2S crystal.

abc: 3.162 3.162 12.042
angles: 90.00 90.00 120.00
Positions (direct):
Mo: 0.333 0.667 0.157
Mo: 0.333 0.667 0.843
Mo: 0.667 0.333 0.342
Mo: 0.667 0.333 0.658
C: 0.000 0.000 0.747
C: 0.000 0.000 0.253
Si: 0.667 0.333 0.000
S: 0.333 0.667 0.500

Its density is 7.45 g cm⁻³. For the final energy, the calculation gives -9.017 eV/atom. The calculation puts the total magnetization at 0.00 μB per cell.

---

Record 3
## SnMo4C2S (PBE)

Data for a relaxed SnMo4C2S crystal.

abc: 3.206 3.206 12.594
angles: 90.00 90.00 120.00
Positions (direct):
C: 0.333 0.667 0.235
C: 0.333 0.667 0.765
Sn: 0.667 0.333 0.500
Mo: 0.000 0.000 0.684
Mo: 0.000 0.000 0.316
Mo: 0.667 0.333 0.145
Mo: 0.667 0.333 0.855
S: 0.000 0.000 0.000

Its density is 8.27 g cm⁻³. For the final energy, the calculation gives -8.784 eV/atom. The calculation puts the total magnetization at 0.00 μB per cell.

---

Record 4
## Y2Mo4C3S3 (PBE)

Data for a relaxed Y2Mo4C3S3 crystal.

abc: 5.802 5.802 12.336
angles: 102.22 102.22 60.38
Positions (direct):
C: 0.000 0.500 0.500
C: 0.500 0.000 0.000
C: 0.676 0.145 0.499
C: 0.145 0.676 0.999
C: 0.855 0.324 0.001
C: 0.324 0.855 0.501
Y: 0.622 0.464 0.385
Y: 0.536 0.378 0.115
Y: 0.378 0.536 0.615
Y: 0.464 0.622 0.885
Mo: 0.017 0.198 0.585
Mo: 0.699 0.848 0.582
Mo: 0.152 0.301 0.918
Mo: 0.848 0.699 0.082
Mo: 0.983 0.802 0.415
Mo: 0.301 0.152 0.418
Mo: 0.198 0.017 0.085
Mo: 0.802 0.983 0.915
S: 0.424 0.203 0.754
S: 0.203 0.424 0.254
S: 0.576 0.797 0.246
S: 0.955 0.045 0.250
S: 0.797 0.576 0.746
S: 0.045 0.955 0.750

Its density is 6.58 g cm⁻³. For the final energy, the calculation gives -8.586 eV/atom. The calculation puts the total magnetization at 0.02 μB per cell.

---

What did the third record say?
## SnMo4C2S (PBE)

Data for a relaxed SnMo4C2S crystal.

abc: 3.206 3.206 12.594
angles: 90.00 90.00 120.00
Positions (direct):
C: 0.333 0.667 0.235
C: 0.333 0.667 0.765
Sn: 0.667 0.333 0.500
Mo: 0.000 0.000 0.684
Mo: 0.000 0.000 0.316
Mo: 0.667 0.333 0.145
Mo: 0.667 0.333 0.855
S: 0.000 0.000 0.000

Its density is 8.27 g cm⁻³. For the final energy, the calculation gives -8.784 eV/atom. The calculation puts the total magnetization at 0.00 μB per cell.

---

- What is the total magnetization in the third record?
  0.00 μB per cell

---

What did the fourth record say?
## Y2Mo4C3S3 (PBE)

Data for a relaxed Y2Mo4C3S3 crystal.

abc: 5.802 5.802 12.336
angles: 102.22 102.22 60.38
Positions (direct):
C: 0.000 0.500 0.500
C: 0.500 0.000 0.000
C: 0.676 0.145 0.499
C: 0.145 0.676 0.999
C: 0.855 0.324 0.001
C: 0.324 0.855 0.501
Y: 0.622 0.464 0.385
Y: 0.536 0.378 0.115
Y: 0.378 0.536 0.615
Y: 0.464 0.622 0.885
Mo: 0.017 0.198 0.585
Mo: 0.699 0.848 0.582
Mo: 0.152 0.301 0.918
Mo: 0.848 0.699 0.082
Mo: 0.983 0.802 0.415
Mo: 0.301 0.152 0.418
Mo: 0.198 0.017 0.085
Mo: 0.802 0.983 0.915
S: 0.424 0.203 0.754
S: 0.203 0.424 0.254
S: 0.576 0.797 0.246
S: 0.955 0.045 0.250
S: 0.797 0.576 0.746
S: 0.045 0.955 0.750

Its density is 6.58 g cm⁻³. For the final energy, the calculation gives -8.586 eV/atom. The calculation puts the total magnetization at 0.02 μB per cell.